Density functional theory data (GGA+U) for PaMnHg2O6 after structural relaxation.

Lattice parameters (Å, degrees): 5.5979 5.6933 5.8400 117.92 90.11 118.00
Closest atoms and distances in Å follow each position.
Atoms (fractional coordinates):
Pa (0.0000, 0.0000, 0.0000)  6 O 2.13-2.24
Mn (0.5000, 0.0000, 0.5000)  4 O 1.97-1.98
Hg (0.2543, 0.4871, 0.7285)  3 O 2.22-2.30
Hg (0.7457, 0.5129, 0.2715)  3 O 2.22-2.30
O (0.1242, 0.4786, 0.2448)  1 Pa 2.13, 1 Hg 2.22, 1 Mn 2.33
O (0.2793, 0.1141, 0.7461)  1 Mn 1.98
O (0.3645, 0.1121, 0.2780)  1 Mn 1.97
O (0.6355, 0.8879, 0.7220)  1 Mn 1.97
O (0.7207, 0.8859, 0.2539)  1 Mn 1.98
O (0.8758, 0.5214, 0.7552)  1 Pa 2.13, 1 Hg 2.22, 1 Mn 2.33

Computed properties:
Electronic total energy in eV per atom: -6.426